(1)
VASP calculation (GGA-PBE) on a relaxed TcIr2 crystal.

Computed properties:
Crystal system: tetragonal
SG: I4/mmm (139)

a b c (Å): 4.716 4.716 4.716
angles (deg): 138.91 138.91 59.51
Sites, in units of the cell vectors:
Tc  0.000  0.000  0.000
Ir  0.333  0.333  0.000
Ir  0.667  0.667  0.000

=====

(2)
VASP calculation (GGA-PBE) on a relaxed TcIr crystal.

Computed properties:
Crystal system: monoclinic
SG: C2/m (12)

a b c (Å): 5.175 5.175 4.798
angles (deg): 117.51 117.51 30.76
Sites, in units of the cell vectors:
Tc  0.125  0.125  0.291
Tc  0.875  0.875  0.709
Ir  0.377  0.377  0.209
Ir  0.623  0.623  0.791

=====

(3)
VASP calculation (GGA-PBE) on a relaxed TcIr2 crystal.

Computed properties:
Crystal system: orthorhombic
SG: Pnma (62)

a b c (Å): 4.777 4.374 8.299
angles (deg): 90.00 90.00 90.00
Sites, in units of the cell vectors:
Tc  0.169  0.250  0.166
Tc  0.331  0.750  0.666
Tc  0.669  0.250  0.334
Tc  0.831  0.750  0.834
Ir  0.164  0.250  0.834
Ir  0.168  0.250  0.499
Ir  0.332  0.750  0.999
Ir  0.336  0.750  0.334
Ir  0.664  0.250  0.666
Ir  0.668  0.250  0.001
Ir  0.832  0.750  0.501
Ir  0.836  0.750  0.166

=====

(4)
VASP calculation (GGA-PBE) on a relaxed Tc5Ir crystal.

Computed properties:
Crystal system: hexagonal
SG: P6/mmm (191)

a b c (Å): 4.993 4.993 4.447
angles (deg): 90.00 90.00 120.00
Sites, in units of the cell vectors:
Tc  0.000  0.500  0.000
Tc  0.333  0.667  0.500
Tc  0.500  0.000  0.000
Tc  0.500  0.500  0.000
Tc  0.667  0.333  0.500
Ir  0.000  0.000  0.500

=====

(5)
VASP calculation (GGA-PBE) on a relaxed TcIr2 crystal.

Computed properties:
Crystal system: cubic
SG: Fm-3m (225)

a b c (Å): 4.176 4.176 4.176
angles (deg): 60.00 60.00 60.00
Sites, in units of the cell vectors:
Tc  0.000  0.000  0.000
Ir  0.250  0.250  0.250
Ir  0.750  0.750  0.750

=====

(6)
VASP calculation (GGA-PBE) on a relaxed Tc3Ir2 crystal.

Computed properties:
Crystal system: trigonal
SG: R-3m (166)

a b c (Å): 8.340 8.340 8.340
angles (deg): 24.08 24.08 24.08
Sites, in units of the cell vectors:
Tc  0.000  0.000  0.000
Tc  0.194  0.194  0.194
Tc  0.806  0.806  0.806
Ir  0.395  0.395  0.395
Ir  0.605  0.605  0.605

=====

(7)
VASP calculation (GGA-PBE) on a relaxed TcIr2 crystal.

Computed properties:
Crystal system: tetragonal
SG: P4/mmm (123)

a b c (Å): 4.318 4.318 2.810
angles (deg): 90.00 90.00 90.00
Sites, in units of the cell vectors:
Tc  0.000  0.000  0.000
Ir  0.000  0.500  0.500
Ir  0.500  0.000  0.500

=====

(8)
VASP calculation (GGA-PBE) on a relaxed Tc3Ir4 crystal.

Computed properties:
Crystal system: tetragonal
SG: I4/mmm (139)

a b c (Å): 9.889 9.889 9.889
angles (deg): 160.80 160.80 27.29
Sites, in units of the cell vectors:
Tc  0.000  0.000  0.000
Tc  0.289  0.289  0.000
Tc  0.711  0.711  0.000
Ir  0.142  0.142  0.000
Ir  0.427  0.427  0.000
Ir  0.573  0.573  0.000
Ir  0.858  0.858  0.000

=====

(9)
VASP calculation (GGA-PBE) on a relaxed Tc3Ir crystal.

Computed properties:
Crystal system: trigonal
SG: R-3m (166)

a b c (Å): 5.150 5.150 5.150
angles (deg): 117.10 117.10 117.10
Sites, in units of the cell vectors:
Tc  0.000  0.500  0.500
Tc  0.500  0.000  0.500
Tc  0.500  0.500  0.000
Ir  0.000  0.000  0.000

=====

(10)
VASP calculation (GGA-PBE) on a relaxed TcIr2 crystal.

Computed properties:
Crystal system: tetragonal
SG: I4/mcm (140)

a b c (Å): 4.988 4.988 4.988
angles (deg): 104.39 104.39 120.19
Sites, in units of the cell vectors:
Tc  0.250  0.250  0.000
Tc  0.750  0.750  0.000
Ir  0.144  0.644  0.787
Ir  0.356  0.144  0.500
Ir  0.644  0.856  0.500
Ir  0.856  0.356  0.213

=====

(11)
VASP calculation (GGA-PBE) on a relaxed TcIr crystal.

Computed properties:
Crystal system: cubic
SG: Pm-3m (221)

a b c (Å): 3.105 3.105 3.105
angles (deg): 90.00 90.00 90.00
Sites, in units of the cell vectors:
Tc  0.000  0.000  0.000
Ir  0.500  0.500  0.500

=====

(12)
VASP calculation (GGA-PBE) on a relaxed TcIr5 crystal.

Computed properties:
Crystal system: orthorhombic
SG: Cmmm (65)

a b c (Å): 6.125 6.125 3.871
angles (deg): 90.00 90.00 143.23
Sites, in units of the cell vectors:
Tc  0.000  0.000  0.000
Ir  0.166  0.834  0.500
Ir  0.338  0.662  0.000
Ir  0.500  0.500  0.500
Ir  0.662  0.338  0.000
Ir  0.834  0.166  0.500

=====

(13)
VASP calculation (GGA-PBE) on a relaxed TcIr2 crystal.

Computed properties:
Crystal system: monoclinic
SG: Cm (8)

a b c (Å): 5.191 5.191 6.485
angles (deg): 103.49 103.49 30.78
Sites, in units of the cell vectors:
Tc  0.000  0.000  0.000
Tc  0.668  0.668  0.330
Ir  0.276  0.276  0.054
Ir  0.334  0.334  0.663
Ir  0.610  0.610  0.723
Ir  0.948  0.948  0.385

=====

(14)
VASP calculation (GGA-PBE) on a relaxed TcIr2 crystal.

Computed properties:
Crystal system: hexagonal
SG: P6_3/mmc (194)

a b c (Å): 4.353 4.353 5.437
angles (deg): 90.00 90.00 120.00
Sites, in units of the cell vectors:
Tc  0.333  0.667  0.250
Tc  0.667  0.333  0.750
Ir  0.000  0.000  0.000
Ir  0.000  0.000  0.500
Ir  0.333  0.667  0.750
Ir  0.667  0.333  0.250

=====

(15)
VASP calculation (GGA-PBE) on a relaxed Tc5Ir crystal.

Computed properties:
Crystal system: orthorhombic
SG: Amm2 (38)

a b c (Å): 4.380 7.325 7.325
angles (deg): 21.73 90.00 90.00
Sites, in units of the cell vectors:
Tc  0.000  0.000  0.000
Tc  0.000  0.332  0.332
Tc  0.000  0.667  0.667
Tc  0.500  0.110  0.110
Tc  0.500  0.777  0.777
Ir  0.500  0.445  0.445

=====

(16)
VASP calculation (GGA-PBE) on a relaxed TcIr2 crystal.

Computed properties:
Crystal system: tetragonal
SG: I4_1/amd (141)

a b c (Å): 12.166 12.166 12.166
angles (deg): 167.06 167.06 18.34
Sites, in units of the cell vectors:
Tc  0.375  0.625  0.750
Tc  0.625  0.375  0.250
Ir  0.048  0.798  0.250
Ir  0.202  0.952  0.250
Ir  0.798  0.048  0.750
Ir  0.952  0.202  0.750

=====

(17)
VASP calculation (GGA-PBE) on a relaxed TcIr2 crystal.

Computed properties:
Crystal system: cubic
SG: Fd-3m (227)

a b c (Å): 5.090 5.090 5.090
angles (deg): 60.00 60.00 60.00
Sites, in units of the cell vectors:
Tc  0.125  0.125  0.125
Tc  0.875  0.875  0.875
Ir  0.000  0.500  0.500
Ir  0.500  0.000  0.500
Ir  0.500  0.500  0.000
Ir  0.500  0.500  0.500

=====

(18)
VASP calculation (GGA-PBE) on a relaxed TcIr crystal.

Computed properties:
Crystal system: orthorhombic
SG: Cmcm (63)

a b c (Å): 5.271 5.271 4.250
angles (deg): 90.00 90.00 150.15
Sites, in units of the cell vectors:
Tc  0.168  0.832  0.750
Tc  0.832  0.168  0.250
Ir  0.426  0.574  0.750
Ir  0.574  0.426  0.250

=====

(19)
VASP calculation (GGA-PBE) on a relaxed TcIr crystal.

Computed properties:
Crystal system: orthorhombic
SG: Fddd (70)

a b c (Å): 4.715 4.712 3.889
angles (deg): 65.68 65.59 48.74
Sites, in units of the cell vectors:
Tc  0.125  0.125  0.125
Tc  0.875  0.875  0.875
Ir  0.375  0.375  0.375
Ir  0.625  0.625  0.625

=====

(20)
VASP calculation (GGA-PBE) on a relaxed Tc3Ir crystal.

Computed properties:
Crystal system: cubic
SG: Pm-3m (221)

a b c (Å): 4.765 4.765 4.765
angles (deg): 90.00 90.00 90.00
Sites, in units of the cell vectors:
Tc  0.000  0.000  0.500
Tc  0.000  0.500  0.000
Tc  0.500  0.000  0.000
Ir  0.000  0.000  0.000

=====

| no. | mass density (g/cm3) | spin magnetization (μB per formula unit) | energy (eV per atom) |
| --- | --- | --- | --- |
| 1 | 17.863 | 0.00 | -9.092 |
| 2 | 16.706 | 0.00 | -9.832 |
| 3 | 18.478 | 0.00 | -9.564 |
| 4 | 11.802 | 0.00 | -9.512 |
| 5 | 15.554 | 0.00 | -8.904 |
| 6 | 13.274 | 0.00 | -8.852 |
| 7 | 15.292 | 0.00 | -8.607 |
| 8 | 16.879 | 0.00 | -9.257 |
| 9 | 13.630 | 0.00 | -9.678 |
| 10 | 17.236 | 0.00 | -9.017 |
| 11 | 16.091 | 0.02 | -9.142 |
| 12 | 20.231 | 0.00 | -9.224 |
| 13 | 18.464 | 0.00 | -9.519 |
| 14 | 17.959 | 0.00 | -9.242 |
| 15 | 13.023 | 0.00 | -10.227 |
| 16 | 17.743 | 0.00 | -9.376 |
| 17 | 17.184 | 0.00 | -8.904 |
| 18 | 16.401 | 0.00 | -9.724 |
| 19 | 16.645 | 0.00 | -9.763 |
| 20 | 7.464 | 3.89 | -7.485 |